Below is crystalline Cr2HgMo at its relaxed geometry, with properties calculated at the GGA-PBE level.

Cell lengths 2.7277, 2.7277, 8.7396 Å; angles 90.00, 90.00, 109.98 degrees
Positions (direct):
Cr 0.0000 0.0000 0.2280
Cr 0.0000 0.0000 0.7720
Hg 0.5000 0.5000 0.5000
Mo 0.5000 0.5000 0.0000

**Energy relative to the elements**: 0.50 eV per atom
**Total energy**: -28.39 eV for the cell shown
**Total moment**: 0.000 μB/cell


Below is crystalline CrHgMo at its relaxed geometry, with properties calculated at the GGA-PBE level.

Cell lengths 4.3082, 4.3082, 4.3082 Å; angles 60.00, 60.00, 60.00 degrees
Positions (direct):
Cr 0.0000 0.0000 0.0000
Hg 0.2500 0.2500 0.2500
Mo 0.7500 0.7500 0.7500

**Energy relative to the elements**: 0.95 eV per atom
**E above lowest polymorph**: 0.509 eV/atom
**Total energy**: -17.89 eV for the cell shown
**Total moment**: 0.455 μB/cell


Below is crystalline CrHg2Mo at its relaxed geometry, with properties calculated at the GGA-PBE level.

Cell lengths 5.0525, 5.0525, 5.2131 Å; angles 99.63, 99.63, 34.17 degrees
Positions (direct):
Cr 0.0000 0.0000 0.0000
Hg 0.2522 0.2522 0.7512
Hg 0.7478 0.7478 0.2488
Mo 0.5000 0.5000 0.5000

**Energy relative to the elements**: 0.66 eV per atom
**E above lowest polymorph**: 0.248 eV/atom
**Total energy**: -18.41 eV for the cell shown
**Total moment**: 2.304 μB/cell


Below is crystalline CrHg2Mo at its relaxed geometry, with properties calculated at the GGA-PBE level.

Cell lengths 4.0304, 4.0846, 4.3932 Å; angles 90.00, 90.00, 90.00 degrees
Positions (direct):
Cr 0.0000 0.0000 0.0000
Hg 0.0000 0.5000 0.5000
Hg 0.5000 0.0000 0.5000
Mo 0.5000 0.5000 0.0000

**Energy relative to the elements**: 0.65 eV per atom
**E above lowest polymorph**: 0.236 eV/atom
**Total energy**: -18.46 eV for the cell shown
**Total moment**: 1.894 μB/cell


Which formula does entry 4 have?
CrHg2Mo